Density functional theory data (PBE) for La2SnF after structural relaxation.

Unit cell a=4.4279 b=4.4279 c=6.8905 alpha=71.26 beta=71.26 gamma=60.00
With the nearest neighbours (Å) after each atom.
Element x y z (fractional)
La 0.2619 0.2619 0.2143  3 F 2.90, 3 Sn 3.14
La 0.7381 0.7381 0.7857  3 F 2.90, 3 Sn 3.14
Sn 0.5000 0.5000 0.5000  6 La 3.14
F 0.0000 0.0000 0.0000  6 La 2.90

Energy relative to the elements, uncorrected ... -35.54 kcal/mol of atoms
Space-group type ... R-3m
Theoretical density ... 6.35 g cm⁻³
Offset from the most stable computed form ... 0.000 eV per formula unit